Entry 1:
! ThH12Rh7 (GGA-PBE, relaxed); values from VASP
&SYSTEM
  ibrav = 0, nat = 20, ntyp = 3
/
ATOMIC_SPECIES
H 1.01 H.upf
Rh 102.91 Rh.upf
Th 232.04 Th.upf
ATOMIC_POSITIONS crystal
H 0.421 0.338 0.428
H 0.083 0.234 0.338
H 0.561 0.123 0.253
H 0.849 0.428 0.234
H 0.438 0.624 0.123
H 0.439 0.877 0.747
H 0.814 0.253 0.624
H 0.151 0.572 0.766
H 0.917 0.766 0.662
H 0.186 0.747 0.376
H 0.562 0.376 0.877
H 0.579 0.662 0.572
Rh 0.910 0.432 0.854
Rh 0.090 0.568 0.146
Rh 0.764 0.854 0.714
Rh 0.236 0.146 0.286
Rh 0.500 0.000 0.000
Rh 0.522 0.286 0.568
Rh 0.478 0.714 0.432
Th 0.000 0.000 0.000
CELL_PARAMETERS angstrom
-4.592 6.680 6.126
3.759 -3.878 1.429
2.422 3.923 3.155
! symmetry = R-3, No. 148
! DOS(E_F) = 9.6 states/eV per cell
! final energy = -5.05 eV per atom

Entry 2:
! ThH3Rh (GGA-PBE, relaxed); values from VASP
&SYSTEM
  ibrav = 0, nat = 5, ntyp = 3
/
ATOMIC_SPECIES
Th 232.04 Th.upf
H 1.01 H.upf
Rh 102.91 Rh.upf
ATOMIC_POSITIONS crystal
Th 0.500 0.500 0.500
H 0.500 0.000 0.000
H 0.000 0.500 0.000
H 0.000 0.000 0.500
Rh 0.000 0.000 0.000
CELL_PARAMETERS angstrom
-1.768 -3.206 0.824
3.276 -1.562 0.953
-0.471 1.169 3.535
! symmetry = Pm-3m, No. 221
! DOS(E_F) = 2.3 states/eV per cell
! final energy = -5.42 eV per atom

Q: Which value of final energy does entry 1 give?
A: -5.05 eV per atom